Record 1
Li2MgCdGe2Pd2: optimized geometry, PBE-GGA.

Cell lengths 4.473, 4.473, 6.349 Å; angles 90.00, 90.00, 90.00 degrees
Fractional coordinates of all 8 atoms:
Li1 0.000 0.500 0.247
Li2 0.500 0.000 0.753
Mg1 0.000 0.000 0.500
Ge1 0.000 0.000 0.000
Ge2 0.500 0.500 0.500
Pd1 0.000 0.500 0.733
Pd2 0.500 0.000 0.267
Cd1 0.500 0.500 0.000

- Space-group type: P-4m2, No. 115
- Calculated total energy: -29.52 eV/cell
- Calculated volume: 15.876 Å³ per atom



Record 2
Li4CdNi2Ge: optimized geometry, PBE-GGA.

Cell lengths 4.231, 4.231, 6.049 Å; angles 90.00, 90.00, 90.00 degrees
Fractional coordinates of all 8 atoms:
Ni1 0.000 0.500 0.288
Ni2 0.500 0.000 0.712
Ge1 0.500 0.500 0.500
Li1 0.000 0.000 0.500
Li2 0.500 0.000 0.262
Li3 0.000 0.500 0.738
Li4 0.500 0.500 0.000
Cd1 0.000 0.000 0.000

- Magnetic moment: 0.0 μB per cell
- Space-group type: P-4m2, No. 115
- Calculated total energy: -26.23 eV/cell
- Calculated volume: 13.537 Å³ per atom



Record 3
Li4CdNiGe2: optimized geometry, PBE-GGA.

Cell lengths 4.272, 4.272, 6.246 Å; angles 90.00, 90.00, 90.00 degrees
Fractional coordinates of all 8 atoms:
Ge1 0.000 0.500 0.712
Ge2 0.500 0.000 0.288
Ni1 0.500 0.500 0.500
Li1 0.500 0.000 0.723
Li2 0.000 0.500 0.277
Li3 0.500 0.500 0.000
Li4 0.000 0.000 0.500
Cd1 0.000 0.000 0.000

- Magnetic moment: 0.0 μB per cell
- Space-group type: P-4m2, No. 115
- Calculated total energy: -26.01 eV/cell
- Calculated volume: 14.246 Å³ per atom



Record 4
Li4CdGe2Pd: optimized geometry, PBE-GGA.

Cell lengths 4.389, 4.389, 6.322 Å; angles 90.00, 90.00, 90.00 degrees
Fractional coordinates of all 8 atoms:
Li1 0.500 0.000 0.731
Li2 0.000 0.500 0.269
Li3 0.500 0.500 0.000
Li4 0.000 0.000 0.500
Ge1 0.500 0.000 0.274
Ge2 0.000 0.500 0.726
Pd1 0.500 0.500 0.500
Cd1 0.000 0.000 0.000

- Space-group type: P-4m2, No. 115
- Calculated total energy: -26.42 eV/cell
- Calculated volume: 15.220 Å³ per atom



Record 5
Li2Cd2Ge2PdPt: optimized geometry, PBE-GGA.

Cell lengths 4.534, 4.534, 6.386 Å; angles 90.00, 90.00, 90.00 degrees
Fractional coordinates of all 8 atoms:
Pd1 0.000 0.000 0.000
Li1 0.000 0.000 0.500
Li2 0.500 0.500 0.000
Ge1 0.000 0.500 0.251
Ge2 0.500 0.000 0.749
Cd1 0.000 0.500 0.751
Cd2 0.500 0.000 0.249
Pt1 0.500 0.500 0.500

- Magnetic moment: 0.0 μB per cell
- Space-group type: P-4m2, No. 115
- Calculated total energy: -29.16 eV/cell
- Calculated volume: 16.411 Å³ per atom



Record 6
Li2Cd2SiGePd2: optimized geometry, PBE-GGA.

Cell lengths 4.493, 4.493, 6.348 Å; angles 90.00, 90.00, 90.00 degrees
Fractional coordinates of all 8 atoms:
Ge1 0.000 0.000 0.000
Li1 0.500 0.000 0.253
Li2 0.000 0.500 0.747
Pd1 0.000 0.500 0.261
Pd2 0.500 0.000 0.739
Cd1 0.500 0.500 0.000
Cd2 0.000 0.000 0.500
Si1 0.500 0.500 0.500

- Space-group type: P-4m2, No. 115
- Calculated total energy: -28.75 eV/cell
- Calculated volume: 16.017 Å³ per atom